This record from Alexandria describes Nd8HIr3Cl4 after structural relaxation. The functional is GGA-PBE.

Cell: 8.1445 8.1445 22.5477 Å, 90.00 90.00 120.00°
With the nearest neighbours (Å) after each atom.
Space group R-3m (No. 166, hexagonal axes)
Inequivalent atoms, fractional coordinates:
Nd  0.0000  0.0000  0.2354 [6 per cell]  3 Ir 2.82
Nd  0.0012  0.5006  0.2348 [18 per cell]  1 H 2.80, 2 Ir 2.81
H  0.0000  0.0000  0.5000 [3 per cell]  6 Nd 2.80
Ir  0.0000  0.5000  0.5000 [9 per cell]  6 Nd 2.81-2.82
Cl  0.0000  0.0000  0.0000 [3 per cell]  6 Nd 3.24
Cl  0.0000  0.5000  0.0000 [9 per cell]  6 Nd 3.23

Computed properties:
Calculated volume, Å³ per atom: 26.99
M_tot, Bohr magnetons per cell: 0.000
Raw total energy, eV per cell: -278.6